9
Lattice="4.952 0.000 0.000 2.412 4.363 0.000 1.663 0.021 6.197" Properties=species:S:1:pos:R:3 comment="MoPBrO6 (PBE+U, optimized geometry)" volume_a3_per_atom=14.88 energy_ev_per_atom=-6.095 crystal_system=triclinic pbc="T T T"
Mo 0.000 0.000 0.000
P 6.562 3.092 5.976
Br 5.733 1.752 3.114
O 3.459 3.100 0.856
O 5.672 4.156 5.056
O 5.660 4.154 0.851
O 6.009 1.677 5.007
O 5.427 1.712 0.772
O 7.958 3.216 5.052